5
Lattice="-0.860 -2.597 -2.238 -0.372 -2.223 2.723 -3.851 1.015 0.303" Properties=species:S:1:pos:R:3 comment="LiMgN2F | Alexandria via LeMat-Bulk | PBE | optimized geometry" space_group=P4/mmm formation_energy_uncorrected_ev_per_atom=0.31 polymorph_energy_ev_per_atom=0.220 pbc="T T T"
Mg -2.542 -1.903 0.394
N -0.186 -1.111 1.361
N -0.430 -1.299 -1.119
Li 0.000 0.000 0.000
F -1.926 0.507 0.151

---

5
Lattice="3.590 0.000 0.000 0.000 3.590 0.000 0.000 0.000 4.069" Properties=species:S:1:pos:R:3 comment="LiMgNF2 | Alexandria via LeMat-Bulk | PBE | optimized geometry" space_group=P4/mmm formation_energy_uncorrected_ev_per_atom=-1.15 polymorph_energy_ev_per_atom=0.304 pbc="T T T"
Mg 1.795 1.795 2.035
N 0.000 0.000 2.035
Li 0.000 0.000 0.000
F 0.000 1.795 0.000
F 1.795 0.000 0.000

---

5
Lattice="4.244 0.000 0.000 0.000 4.244 0.000 0.000 0.000 3.898" Properties=species:S:1:pos:R:3 comment="LiMgN2F | Alexandria via LeMat-Bulk | PBE | optimized geometry" space_group=P4/mmm formation_energy_uncorrected_ev_per_atom=0.09 polymorph_energy_ev_per_atom=0.000 pbc="T T T"
Mg 0.000 0.000 0.000
N 0.000 2.122 0.000
N 2.122 0.000 0.000
Li 2.122 2.122 1.949
F 0.000 0.000 1.949

---

5
Lattice="4.154 0.000 0.000 0.000 4.922 0.000 0.000 0.000 4.154" Properties=species:S:1:pos:R:3 comment="NaLiMgF2 | Alexandria via LeMat-Bulk | PBE | optimized geometry" space_group=P4/mmm formation_energy_uncorrected_ev_per_atom=-1.39 pbc="T T T"
Na 2.077 2.461 2.077
Mg 0.000 2.461 0.000
Li 0.000 0.000 0.000
F 0.000 0.000 2.077
F 2.077 0.000 0.000

---

14
Lattice="-4.999 2.463 2.687 -0.355 -5.741 -2.519 3.221 0.847 5.216" Properties=species:S:1:pos:R:3 comment="NaLiMgF4 | Alexandria via LeMat-Bulk | PBE | optimized geometry" space_group=Imma formation_energy_uncorrected_ev_per_atom=-3.13 pbc="T T T"
Na -4.211 -1.959 1.083
Na 2.079 -0.472 4.300
Li -1.066 -1.215 2.692
Li 1.433 -2.447 1.348
Mg -0.889 1.655 3.951
Mg -2.499 1.232 1.343
F -1.535 -0.171 4.423
F -0.637 0.877 2.087
F -2.775 1.931 3.236
F -2.949 -0.543 2.134
F 0.817 -1.887 3.249
F -1.495 -3.308 3.296
F 0.642 -4.361 2.148
F -0.597 -2.259 0.961

---

20
Lattice="5.514 0.000 -0.048 0.000 5.724 0.000 -0.028 0.000 7.428" Properties=species:S:1:pos:R:3 comment="Na2LiMgF6 | Alexandria via LeMat-Bulk | PBE | optimized geometry" space_group=P2_1/c formation_energy_uncorrected_ev_per_atom=-2.71 pbc="T T T"
Na 0.074 5.375 1.844
Na 2.817 3.211 5.534
Na 5.411 0.349 5.536
Na 2.668 2.513 1.846
Li 2.743 0.000 3.690
Li 0.000 2.862 0.000
Mg 2.757 0.000 -0.024
Mg -0.014 2.862 3.714
F 1.665 4.104 0.448
F 4.408 4.482 4.138
F 3.821 1.620 6.932
F 1.078 1.242 3.242
F 1.575 4.030 3.275
F 4.318 4.555 6.965
F 3.911 1.693 4.105
F 1.168 1.169 0.415
F 4.870 3.084 1.814
F 2.099 5.501 5.552
F 0.616 2.639 5.566
F 3.387 0.222 1.828

---

Number 1: density of states at the Fermi level 1.9 states/eV per cell, theoretical density 2.60 g cm⁻³. Number 2: density of states at the Fermi level 1.5 states/eV per cell, theoretical density 2.64 g cm⁻³. Number 3: density of states at the Fermi level 1.3 states/eV per cell, theoretical density 1.85 g cm⁻³. Number 4: density of states at the Fermi level 0.0 states/eV per cell, theoretical density 1.80 g cm⁻³. Number 5: density of states at the Fermi level 0.0 states/eV per cell, theoretical density 2.51 g cm⁻³. Number 6: density of states at the Fermi level 18.6 states/eV per cell, theoretical density 2.71 g cm⁻³.